[1]
Here is a relaxed BeCuRu crystal from Alexandria via LeMat-Bulk. Energies are from PBE.

a = 3.9283 Å, b = 3.9283 Å, c = 3.9283 Å
α = 60.00°, β = 60.00°, γ = 60.00°
Fractional positions:
Be (0.0000, 0.0000, 0.0000)
Cu (0.5000, 0.5000, 0.5000)
Ru (0.2500, 0.2500, 0.2500)

SG	F-43m
E_form	746.8	meV per atom
energy	-14.9	eV/cell
total magnetization	0.3379	μB/atom

---

[2]
Here is a relaxed BeCuRu crystal from Alexandria via LeMat-Bulk. Energies are from PBE.

a = 3.7251 Å, b = 3.7251 Å, c = 3.7251 Å
α = 60.00°, β = 60.00°, γ = 60.00°
Fractional positions:
Be (0.0000, 0.0000, 0.0000)
Cu (0.2500, 0.2500, 0.2500)
Ru (0.7500, 0.7500, 0.7500)

SG	F-43m
E_form	241.7	meV per atom
energy	-16.4	eV/cell
total magnetization	0.0006	μB/atom

---

[3]
Here is a relaxed BeCuRu crystal from Alexandria via LeMat-Bulk. Energies are from PBE.

a = 2.6208 Å, b = 2.6208 Å, c = 5.9489 Å
α = 90.00°, β = 90.00°, γ = 120.00°
Fractional positions:
Be (0.0000, 0.0000, 0.0000)
Cu (0.6667, 0.3333, 0.3115)
Ru (0.3333, 0.6667, 0.6884)

SG	P3m1
E_form	81.5	meV per atom
energy	-16.9	eV/cell
total magnetization	0.0000	μB/atom

---

[4]
Here is a relaxed BeCu3Ru crystal from Alexandria via LeMat-Bulk. Energies are from PBE.

a = 3.9600 Å, b = 3.9600 Å, c = 3.9600 Å
α = 90.00°, β = 90.00°, γ = 90.00°
Fractional positions:
Be (0.0000, 0.0000, 0.0000)
Cu (0.0000, 0.0000, 0.5000)
Cu (0.0000, 0.5000, 0.0000)
Cu (0.5000, 0.0000, 0.0000)
Ru (0.5000, 0.5000, 0.5000)

SG	Pm-3m
E_form	604.3	meV per atom
energy	-22.3	eV/cell
total magnetization	0.2168	μB/atom